[1]
VASP calculation (GGA-PBEsol) on a geometry-optimized LiVP3O9 structure.

Cell lengths 6.3883, 6.3883, 9.5271 Å; angles 90.00, 90.00, 120.00 degrees
Closest atoms and distances in Å follow each position.
Space group P-6c2 (No. 188)
Asymmetric unit:
Li  0.0000  0.0000  0.0000 (multiplicity 2)  6 O 2.40
V  0.6667  0.3333  0.0000 (multiplicity 2)  6 O 2.13
P  0.0550  0.4133  0.2500 (multiplicity 6)  4 O 1.50-1.59
O  0.1184  0.4303  0.7500 (multiplicity 6)  2 P 1.59
O  0.3636  0.0651  0.1136 (multiplicity 12)  1 P 1.50

Its total energy is -7.541 eV per atom. For the uncorrected formation energy, the calculation gives -2.097 eV/atom.


[2]
VASP calculation (GGA-PBEsol) on a geometry-optimized Mg2Cu2Sn structure.

Cell lengths 6.7845, 6.7845, 3.7273 Å; angles 90.00, 90.00, 90.00 degrees
Closest atoms and distances in Å follow each position.
Space group P4/mbm (No. 127)
Asymmetric unit:
Mg  0.1629  0.3371  0.0000 (multiplicity 4)  6 Cu 2.72-2.74
Cu  0.1279  0.6279  0.5000 (multiplicity 4)  1 Cu 2.46, 2 Sn 2.67, 6 Mg 2.72-2.74
Sn  0.0000  0.0000  0.5000 (multiplicity 2)  4 Cu 2.67

Its total energy is -3.379 eV per atom.


[3]
VASP calculation (GGA-PBEsol) on a geometry-optimized SmCoSb2 structure.

Cell lengths 4.2940, 4.2940, 9.5193 Å; angles 90.00, 90.00, 90.00 degrees
Closest atoms and distances in Å follow each position.
Space group P4/nmm (No. 129, origin choice 2)
Asymmetric unit:
Sm  0.2500  0.2500  0.2401 (multiplicity 2)  4 Co 3.14, 8 Sb 3.19-3.28
Co  0.2500  0.7500  0.0000 (multiplicity 2)  4 Sb 2.52
Sb  0.2500  0.2500  0.8621 (multiplicity 2)  4 Co 2.52
Sb  0.2500  0.7500  0.5000 (multiplicity 2)  4 Sb 3.04, 4 Sm 3.28

Its total energy is -6.151 eV per atom. For the uncorrected formation energy, the calculation gives -0.665 eV/atom.


[4]
VASP calculation (GGA-PBEsol) on a geometry-optimized Co2Ir structure.

Cell lengths 2.5957, 2.5957, 10.3838 Å; angles 90.00, 90.00, 90.00 degrees
Closest atoms and distances in Å follow each position.
Space group I4/mmm (No. 139)
Asymmetric unit:
Co  0.0000  0.0000  0.1734 (multiplicity 4)  8 Co 2.43-2.60, 4 Ir 2.57
Ir  0.0000  0.0000  0.5000 (multiplicity 2)  8 Co 2.57, 4 Ir 2.60

Its total energy is -8.358 eV per atom.


[5]
VASP calculation (GGA-PBEsol) on a geometry-optimized LiZnRh2 structure.

Cell lengths 2.7042, 2.7042, 25.1362 Å; angles 90.00, 90.00, 120.00 degrees
Closest atoms and distances in Å follow each position.
Space group R-3m (No. 166, hexagonal axes)
Asymmetric unit:
Li  0.0000  0.0000  0.0000 (multiplicity 3)  6 Rh 2.65, 6 Li 2.70
Zn  0.0000  0.0000  0.5000 (multiplicity 3)  6 Rh 2.58, 6 Zn 2.70
Rh  0.0000  0.0000  0.2484 (multiplicity 6)  3 Zn 2.58, 3 Li 2.65, 6 Rh 2.70

Its total energy is -5.129 eV per atom.


[6]
VASP calculation (GGA-PBEsol) on a geometry-optimized CrIrRh structure.

Cell lengths 2.6611, 2.6611, 10.9988 Å; angles 90.00, 90.00, 90.00 degrees
Closest atoms and distances in Å follow each position.
Space group I4mm (No. 107)
Asymmetric unit:
Cr  0.0000  0.0000  0.0000 (multiplicity 2)  4 Ir 2.55, 4 Rh 2.57, 4 Cr 2.66
Ir  0.0000  0.0000  0.6563 (multiplicity 2)  4 Cr 2.55, 4 Ir 2.66, 4 Rh 2.77
Rh  0.0000  0.0000  0.3412 (multiplicity 2)  4 Cr 2.57, 4 Rh 2.66, 4 Ir 2.77

Its total energy is -9.534 eV per atom.


[7]
VASP calculation (GGA-PBEsol) on a geometry-optimized SrPb2W structure.

Cell lengths 3.6966, 3.6966, 7.8732 Å; angles 90.00, 90.00, 90.00 degrees
Closest atoms and distances in Å follow each position.
Space group P4mm (No. 99)
Asymmetric unit:
Sr  0.0000  0.0000  0.0000 (multiplicity 1)  5 Pb 3.31-3.59, 4 W 3.54, 4 Sr 3.70
Pb  0.0000  0.0000  0.4201 (multiplicity 1)  4 W 2.77
Pb  0.5000  0.5000  0.6874 (multiplicity 1)  1 W 3.02, 4 Pb 3.36
W  0.5000  0.5000  0.3036 (multiplicity 1)  5 Pb 2.77-3.02

Its total energy is -5.279 eV per atom.


[8]
VASP calculation (GGA-PBEsol) on a geometry-optimized CdRe2Pt structure.

Cell lengths 2.7662, 2.7662, 28.0823 Å; angles 90.00, 90.00, 120.00 degrees
Closest atoms and distances in Å follow each position.
Space group R-3m (No. 166, hexagonal axes)
Asymmetric unit:
Cd  0.0000  0.0000  0.0000 (multiplicity 3)  6 Cd 2.77, 6 Re 2.94
Re  0.0000  0.0000  0.2456 (multiplicity 6)  3 Pt 2.73, 6 Re 2.77, 3 Cd 2.94
Pt  0.0000  0.0000  0.5000 (multiplicity 3)  6 Re 2.73, 6 Pt 2.77

Its total energy is -8.409 eV per atom.


[9]
VASP calculation (GGA-PBEsol) on a geometry-optimized AlZn2Ni structure.

Cell lengths 5.0838, 8.8389, 2.6516 Å; angles 90.00, 119.14, 90.00 degrees
Closest atoms and distances in Å follow each position.
Space group C2/m (No. 12)
Asymmetric unit:
Al  0.0000  0.0000  0.0000 (multiplicity 2)  4 Ni 2.54-2.63, 4 Zn 2.57, 2 Al 2.65
Zn  0.2500  0.2500  0.5000 (multiplicity 4)  6 Zn 2.54-2.65, 2 Ni 2.57, 2 Al 2.57
Ni  0.0000  0.5000  0.0000 (multiplicity 2)  4 Al 2.54-2.63, 4 Zn 2.57, 2 Ni 2.65

Its total energy is -3.495 eV per atom.


[10]
VASP calculation (GGA-PBEsol) on a geometry-optimized NbAlCd2Co structure.

Cell lengths 5.4085, 5.4085, 4.2560 Å; angles 90.00, 90.00, 90.00 degrees
Closest atoms and distances in Å follow each position.
Space group P4/mmm (No. 123)
Asymmetric unit:
Nb  0.0000  0.0000  0.0000 (multiplicity 1)  2 Co 2.13
Al  0.5000  0.5000  0.5000 (multiplicity 1)  8 Cd 3.44, 4 Co 3.82
Cd  0.0000  0.5000  0.0000 (multiplicity 2)  2 Nb 2.70
Co  0.0000  0.0000  0.5000 (multiplicity 1)  2 Nb 2.13

Its total energy is -3.689 eV per atom.


[11]
VASP calculation (GGA-PBEsol) on a geometry-optimized K3TlF6 structure.

Cell lengths 9.2163, 9.2163, 9.2163 Å; angles 90.00, 90.00, 90.00 degrees
Closest atoms and distances in Å follow each position.
Space group Fm-3m (No. 225)
Asymmetric unit:
K  0.0000  0.0000  0.0000 (multiplicity 4)  6 F 2.45
K  0.2500  0.2500  0.2500 (multiplicity 8)  12 F 3.26
Tl  0.0000  0.0000  0.5000 (multiplicity 4)  6 F 2.16
F  0.0000  0.0000  0.2659 (multiplicity 24)  1 Tl 2.16

Its total energy is -4.159 eV per atom. For the uncorrected formation energy, the calculation gives -2.400 eV/atom.


[12]
VASP calculation (GGA-PBEsol) on a geometry-optimized YCrPCl2 structure.

Cell lengths 4.4988, 4.4988, 4.9800 Å; angles 90.00, 90.00, 90.00 degrees
Closest atoms and distances in Å follow each position.
Space group P4/mmm (No. 123)
Asymmetric unit:
Y  0.0000  0.0000  0.0000 (multiplicity 1)  4 P 3.18, 8 Cl 3.36
Cr  0.5000  0.5000  0.5000 (multiplicity 1)  4 Cl 2.25, 2 P 2.49
P  0.5000  0.5000  0.0000 (multiplicity 1)  2 Cr 2.49
Cl  0.0000  0.5000  0.5000 (multiplicity 2)  2 Cr 2.25

Its total energy is -6.033 eV per atom. For the uncorrected formation energy, the calculation gives -0.658 eV/atom.


[13]
VASP calculation (GGA-PBEsol) on a geometry-optimized ZnCdHg structure.

Cell lengths 6.2916, 6.2916, 6.2916 Å; angles 90.00, 90.00, 90.00 degrees
Closest atoms and distances in Å follow each position.
Space group F-43m (No. 216)
Asymmetric unit:
Zn  0.0000  0.0000  0.0000 (multiplicity 4)  4 Hg 2.72, 4 Cd 2.72
Cd  0.2500  0.2500  0.7500 (multiplicity 4)  4 Zn 2.72
Hg  0.2500  0.2500  0.2500 (multiplicity 4)  4 Zn 2.72

Its total energy is -1.061 eV per atom.


[14]
VASP calculation (GGA-PBEsol) on a geometry-optimized YZrPb structure.

Cell lengths 7.0944, 7.0944, 7.0944 Å; angles 90.00, 90.00, 90.00 degrees
Closest atoms and distances in Å follow each position.
Space group F-43m (No. 216)
Asymmetric unit:
Y  0.0000  0.0000  0.0000 (multiplicity 4)  4 Zr 3.07
Zr  0.2500  0.2500  0.7500 (multiplicity 4)  4 Pb 3.07, 4 Y 3.07
Pb  0.0000  0.0000  0.5000 (multiplicity 4)  4 Zr 3.07

Its total energy is -6.172 eV per atom.


[15]
VASP calculation (GGA-PBEsol) on a geometry-optimized ZrNiBr2 structure.

Cell lengths 6.5465, 6.5465, 6.5465 Å; angles 90.00, 90.00, 90.00 degrees
Closest atoms and distances in Å follow each position.
Space group Fm-3m (No. 225)
Asymmetric unit:
Zr  0.0000  0.0000  0.0000 (multiplicity 4)  8 Br 2.83
Ni  0.0000  0.0000  0.5000 (multiplicity 4)  8 Br 2.83
Br  0.2500  0.2500  0.2500 (multiplicity 8)  4 Zr 2.83, 4 Ni 2.83

Its total energy is -4.822 eV per atom. For the uncorrected formation energy, the calculation gives -0.075 eV/atom.


[16]
VASP calculation (GGA-PBEsol) on a geometry-optimized Mg2TlSb structure.

Cell lengths 4.5660, 4.9910, 8.4203 Å; angles 90.00, 90.00, 90.00 degrees
Closest atoms and distances in Å follow each position.
Space group Immm (No. 71)
Asymmetric unit:
Mg  0.0000  0.0000  0.2491 (multiplicity 4)  4 Sb 3.10-3.27, 4 Tl 3.11-3.26, 4 Mg 3.38
Tl  0.0000  0.5000  0.0000 (multiplicity 2)  8 Mg 3.11-3.26, 4 Sb 3.38
Sb  0.0000  0.5000  0.5000 (multiplicity 2)  8 Mg 3.10-3.27, 4 Tl 3.38

Its total energy is -2.806 eV per atom. For the uncorrected formation energy, the calculation gives -0.151 eV/atom.


[17]
VASP calculation (GGA-PBEsol) on a geometry-optimized TlReRh3 structure.

Cell lengths 4.6753, 4.6753, 4.6753 Å; angles 90.00, 90.00, 90.00 degrees
Closest atoms and distances in Å follow each position.
Space group Pm-3m (No. 221)
Asymmetric unit:
Tl  0.0000  0.0000  0.0000 (multiplicity 1)  12 Rh 3.31
Re  0.5000  0.5000  0.5000 (multiplicity 1)  6 Rh 2.34
Rh  0.0000  0.5000  0.5000 (multiplicity 3)  2 Re 2.34

Its total energy is -6.919 eV per atom.


[18]
VASP calculation (GGA-PBEsol) on a geometry-optimized ZrCo2Te structure.

Cell lengths 3.3198, 3.3198, 5.6722 Å; angles 90.00, 90.00, 90.00 degrees
Closest atoms and distances in Å follow each position.
Space group P4/mmm (No. 123)
Asymmetric unit:
Zr  0.0000  0.0000  0.0000 (multiplicity 1)  8 Co 2.72, 2 Te 2.84
Co  0.5000  0.5000  0.2424 (multiplicity 2)  4 Zr 2.72, 2 Co 2.75-2.92, 4 Te 2.76
Te  0.0000  0.0000  0.5000 (multiplicity 1)  8 Co 2.76, 2 Zr 2.84

Its total energy is -7.146 eV per atom. For the uncorrected formation energy, the calculation gives -0.124 eV/atom.


[19]
VASP calculation (GGA-PBEsol) on a geometry-optimized OsSIO2 structure.

Cell lengths 3.6502, 3.6502, 5.8136 Å; angles 90.00, 90.00, 90.00 degrees
Closest atoms and distances in Å follow each position.
Space group P4/mmm (No. 123)
Asymmetric unit:
Os  0.0000  0.0000  0.0000 (multiplicity 1)  4 I 2.58
S  0.5000  0.5000  0.5000 (multiplicity 1)  4 O 1.83
I  0.5000  0.5000  0.0000 (multiplicity 1)  4 Os 2.58
O  0.0000  0.5000  0.5000 (multiplicity 2)  2 S 1.83

Its total energy is -4.804 eV per atom. For the uncorrected formation energy, the calculation gives 0.969 eV/atom.


[20]
VASP calculation (GGA-PBEsol) on a geometry-optimized K2NaYF6 structure.

Cell lengths 8.7303, 8.7303, 8.7303 Å; angles 90.00, 90.00, 90.00 degrees
Closest atoms and distances in Å follow each position.
Space group Fm-3m (No. 225)
Asymmetric unit:
K  0.2500  0.2500  0.2500 (multiplicity 8)  12 F 3.09
Na  0.0000  0.0000  0.0000 (multiplicity 4)  6 F 2.22
Y  0.0000  0.0000  0.5000 (multiplicity 4)  6 F 2.14
F  0.0000  0.0000  0.2545 (multiplicity 24)  1 Y 2.14, 1 Na 2.22

Its total energy is -5.522 eV per atom. For the uncorrected formation energy, the calculation gives -3.316 eV/atom.


[21]
VASP calculation (GGA-PBEsol) on a geometry-optimized LiBe2Re structure.

Cell lengths 5.5189, 5.5189, 5.5189 Å; angles 90.00, 90.00, 90.00 degrees
Closest atoms and distances in Å follow each position.
Space group Fm-3m (No. 225)
Asymmetric unit:
Li  0.0000  0.0000  0.0000 (multiplicity 4)  8 Be 2.39
Be  0.2500  0.2500  0.2500 (multiplicity 8)  4 Li 2.39, 4 Re 2.39
Re  0.0000  0.0000  0.5000 (multiplicity 4)  8 Be 2.39

Its total energy is -5.505 eV per atom.


[22]
VASP calculation (GGA-PBEsol) on a geometry-optimized CaGa2P2 structure.

Cell lengths 3.8857, 3.8857, 12.6741 Å; angles 90.00, 90.00, 90.00 degrees
Closest atoms and distances in Å follow each position.
Space group I4/mmm (No. 139)
Asymmetric unit:
Ca  0.0000  0.0000  0.0000 (multiplicity 2)  8 P 2.96
Ga  0.0000  0.5000  0.2500 (multiplicity 4)  4 Ga 2.75, 4 P 2.83
P  0.0000  0.0000  0.4129 (multiplicity 4)  1 P 2.21

Its total energy is -4.432 eV per atom.


[23]
VASP calculation (GGA-PBEsol) on a geometry-optimized Na2SiPb structure.

Cell lengths 7.1804, 7.1804, 7.1804 Å; angles 90.00, 90.00, 90.00 degrees
Closest atoms and distances in Å follow each position.
Space group Fm-3m (No. 225)
Asymmetric unit:
Na  0.2500  0.2500  0.2500 (multiplicity 8)  4 Pb 3.11, 4 Si 3.11
Si  0.0000  0.0000  0.0000 (multiplicity 4)  8 Na 3.11
Pb  0.0000  0.0000  0.5000 (multiplicity 4)  8 Na 3.11

Its total energy is -2.954 eV per atom. For the uncorrected formation energy, the calculation gives 0.182 eV/atom.


[24]
VASP calculation (GGA-PBEsol) on a geometry-optimized HfN structure.

Cell lengths 2.7816, 2.7816, 2.7816 Å; angles 90.00, 90.00, 90.00 degrees
Closest atoms and distances in Å follow each position.
Space group Pm-3m (No. 221)
Asymmetric unit:
Hf  0.0000  0.0000  0.0000 (multiplicity 1)  8 N 2.41
N  0.5000  0.5000  0.5000 (multiplicity 1)  8 Hf 2.41

Its total energy is -10.514 eV per atom. For the uncorrected formation energy, the calculation gives -0.999 eV/atom.


[25]
VASP calculation (GGA-PBEsol) on a geometry-optimized K3Sn5Cl3F10 structure.

Cell lengths 4.2803, 18.9748, 20.3642 Å; angles 90.00, 90.00, 90.00 degrees
Closest atoms and distances in Å follow each position.
Space group Cmcm (No. 63)
Asymmetric unit:
K  0.0000  0.0000  0.0000 (multiplicity 4)  8 F 2.65-2.84
K  0.0000  0.4400  0.1632 (multiplicity 8)  6 F 2.64-2.86
Sn  0.0000  0.1303  0.1513 (multiplicity 8)  1 F 2.05
Sn  0.0000  0.2068  0.7500 (multiplicity 4)  3 F 2.09-2.23
Sn  0.0000  0.3249  0.9999 (multiplicity 8)  2 F 2.05-2.28
Cl  0.0000  0.1862  0.6129 (multiplicity 8)  3 Sn 2.82-3.15
Cl  0.0000  0.4204  0.7500 (multiplicity 4)  4 Sn 3.09, 6 F 3.14-3.42, 2 K 3.18
F  0.0000  0.0251  0.1294 (multiplicity 8)  1 Sn 2.05
F  0.0000  0.0968  0.7500 (multiplicity 4)  1 Sn 2.09
F  0.0000  0.1437  0.0383 (multiplicity 8)  3 Sn 2.32-2.35, 2 F 2.53
F  0.0000  0.3253  0.2500 (multiplicity 4)  2 Sn 2.23
F  0.0000  0.3735  0.6024 (multiplicity 8)  3 Sn 2.28-2.36, 2 F 2.53
F  0.0000  0.4265  0.0340 (multiplicity 8)  1 Sn 2.05

Its total energy is -4.580 eV per atom. For the uncorrected formation energy, the calculation gives -2.200 eV/atom.


Magnetization (μB per formula unit)
3.0, 0.0, 0.8, 2.9, 0.0, 0.0, 0.0, 0.0, 0.0, 0.0, 0.0, 3.6, 0.0, 2.9, 0.0, 0.0, 0.0, 0.7, 1.3, 0.0, 0.7, 0.0, 0.0, 0.0, 0.0